Below is Tm5TeSe4 at its PBEsol-relaxed geometry, with properties calculated at the meta-GGA SCAN level.

space-group type: No. 166
volume: 228.9 Å³ per cell
spin magnetization: 0.00 μB per formula unit
uncorrected formation energy: -1.7281 eV/atom

Structure (CIF):
```
data_Tm5TeSe4
_space_group_name_H-M_alt 'P 1'
_space_group_IT_number 1
_space_group_name_Hall 'P 1'
_cell_length_a 4.007
_cell_length_b 4.007
_cell_length_c 16.624
_cell_angle_alpha 83.08
_cell_angle_beta 83.08
_cell_angle_gamma 60.00
loop_
_atom_site_label
_atom_site_type_symbol
_atom_site_fract_x
_atom_site_fract_y
_atom_site_fract_z
Tm1 Tm 0.706 0.706 0.881
Tm2 Tm 0.102 0.102 0.695
Tm3 Tm 0.500 0.500 0.500
Tm4 Tm 0.294 0.294 0.119
Tm5 Tm 0.898 0.898 0.305
Te1 Te 0.000 0.000 0.000
Se1 Se 0.596 0.596 0.211
Se2 Se 0.199 0.199 0.403
Se3 Se 0.801 0.801 0.597
Se4 Se 0.404 0.404 0.789
```